Computed, not measured: a geometry-optimized CePuMgIr structure at the PBE level of DFT.

Values from the calculation:
DOS(E_F) in states/eV/cell: 22.85
Uncorrected energy in eV per atom: -7.95
ΔE_f in kJ/mol of atoms: -25.9

a b c (Å): 6.896 6.896 6.896
angles (deg): 90.00 90.00 90.00
Space group F-43m (No. 216)
Inequivalent atoms, fractional coordinates:
Ce (0.000, 0.000, 0.000) (multiplicity 4)
Pu (0.250, 0.250, 0.250) (multiplicity 4)
Mg (0.000, 0.000, 0.500) (multiplicity 4)
Ir (0.250, 0.250, 0.750) (multiplicity 4)